Run a
Ce2DyTe (PBE, relaxed); crystal system = tetragonal; volume = 105.5 Å³/cell; total magnetic moment = 0.28 μB/atom
1.0
5.067 0.000 0.000
0.000 4.563 0.000
0.000 0.000 4.563
Ce Dy Te
2 1 1
direct
0.000 0.000 0.500
0.000 0.500 0.000
0.500 0.500 0.500
0.500 0.000 0.000

***

Run b
Ce2DyTe (PBE, relaxed); crystal system = cubic; volume = 114.3 Å³/cell; total magnetic moment = 0.53 μB/atom
1.0
-4.658 0.895 2.680
-2.176 -3.939 3.070
0.024 0.450 5.429
Te Dy Ce
1 1 2
direct
0.000 0.000 0.000
0.500 0.500 0.500
0.250 0.250 0.250
0.750 0.750 0.750

***

Referenced to the most stable arrangement, the calculated values in kJ/mol of atoms are run a 0.0; run b 28.4.

***

Run a
CeDyTmTh (PBE, relaxed); crystal system = cubic; volume = 125.8 Å³/cell; total magnetic moment = 0.60 μB/atom
1.0
5.625 0.000 0.000
2.812 4.871 0.000
2.812 1.624 4.593
Dy Ce Th Tm
1 1 1 1
direct
0.000 0.000 0.000
0.250 0.250 0.250
0.500 0.500 0.500
0.750 0.750 0.750

***

Run b
CeDyTmTh (PBE, relaxed); crystal system = trigonal; volume = 122.6 Å³/cell; total magnetic moment = 0.07 μB/atom
1.0
3.535 -0.001 0.000
-1.767 3.061 -0.001
-1.772 -1.019 11.327
Th Ce Tm Dy
1 1 1 1
direct
0.134 0.964 0.114
0.303 0.550 0.869
0.471 0.134 0.619
0.969 0.382 0.367

***

Referenced to the most stable arrangement, the calculated values in kJ/mol of atoms are run a 19.0; run b 0.0.

***

Run a
CeDyYTh (PBE, relaxed); crystal system = cubic; volume = 128.2 Å³/cell; total magnetic moment = 0.20 μB/atom
1.0
-5.280 -1.875 -0.796
-1.770 -4.680 2.644
-3.797 0.376 4.180
Dy Y Ce Th
1 1 1 1
direct
0.750 0.750 0.750
0.250 0.250 0.250
0.000 0.000 0.000
0.500 0.500 0.500

***

Run b
CeDyYTh (PBE, relaxed); crystal system = trigonal; volume = 124.5 Å³/cell; total magnetic moment = 0.00 μB/atom
1.0
3.552 -0.001 -0.002
-1.776 3.077 0.002
-1.771 -1.030 11.395
Y Th Dy Ce
1 1 1 1
direct
0.968 0.382 0.365
0.134 0.965 0.113
0.472 0.134 0.621
0.304 0.550 0.871

***

Referenced to the most stable arrangement, the calculated values in kJ/mol of atoms are run a 16.1; run b 0.0.

***

Run a
Ce2DyTi (PBE, relaxed); crystal system = tetragonal; volume = 103.3 Å³/cell; total magnetic moment = 0.01 μB/atom
1.0
-2.822 -0.701 1.446
1.475 -2.291 1.767
1.925 6.608 6.961
Ce Dy Ti
2 1 1
direct
0.000 0.000 0.225
0.000 0.000 0.775
0.500 0.500 0.500
0.500 0.500 0.000

***

Run b
Ce2DyTi (PBE, relaxed); crystal system = tetragonal; volume = 102.7 Å³/cell; total magnetic moment = 0.00 μB/atom
1.0
-1.165 -1.529 -4.547
4.200 -1.706 -0.503
-1.415 -3.987 1.704
Ti Dy Ce
1 1 2
direct
0.500 0.500 0.500
0.500 0.000 0.000
0.000 0.000 0.500
0.000 0.500 0.000

***

Referenced to the most stable arrangement, the calculated values in kJ/mol of atoms are run a 0.0; run b 3.5.

***

Run a
CeDy5Tl6 (PBE, relaxed); crystal system = monoclinic; volume = 332.9 Å³/cell; total magnetic moment = 0.10 μB/atom
1.0
5.192 -0.009 -1.458
-3.899 7.551 -3.929
-0.200 -1.110 9.295
Tl Ce Dy
6 1 5
direct
0.760 0.260 0.260
0.745 0.915 0.576
0.255 0.085 0.424
0.745 0.576 0.915
0.240 0.740 0.740
0.255 0.424 0.085
0.000 0.000 0.000
0.500 0.837 0.163
0.000 0.668 0.332
0.500 0.500 0.500
0.500 0.163 0.837
0.000 0.332 0.668

***

Run b
CeDy5Tl6 (PBE, relaxed); crystal system = monoclinic; volume = 357.0 Å³/cell; total magnetic moment = 0.08 μB/atom
1.0
6.552 0.162 0.000
1.918 9.719 0.000
0.959 4.860 5.634
Tl Dy Ce
6 5 1
direct
0.257 0.252 0.000
0.746 0.082 0.342
0.743 0.748 0.000
0.254 0.576 0.342
0.254 0.918 0.658
0.746 0.424 0.658
0.000 0.334 0.332
0.000 0.666 0.668
0.500 0.164 0.672
0.500 0.500 0.000
0.500 0.836 0.328
0.000 0.000 0.000

***

Referenced to the most stable arrangement, the calculated values in kJ/mol of atoms are run a 0.0; run b 9.6.

***

Run a
CeDy5Tl4 (PBE, relaxed); crystal system = tetragonal; volume = 278.7 Å³/cell; total magnetic moment = 0.00 μB/atom
1.0
-2.856 -1.015 -1.887
1.278 -3.330 -0.144
-10.530 -4.840 18.541
Tl Dy Ce
4 5 1
direct
0.000 0.000 0.598
0.000 0.000 0.794
0.000 0.000 0.402
0.000 0.000 0.206
0.500 0.500 0.110
0.500 0.500 0.305
0.500 0.500 0.695
0.500 0.500 0.890
0.500 0.500 0.500
0.000 0.000 0.000

***

Run b
CeDy5Tl4 (PBE, relaxed); crystal system = orthorhombic; volume = 653.3 Å³/cell; total magnetic moment = 0.10 μB/atom
1.0
-2.565 3.235 -7.278
-3.727 -7.345 -1.951
-7.785 2.882 4.024
Tl Dy Ce
8 10 2
direct
0.436 0.167 0.500
0.564 0.667 0.000
0.014 0.000 0.836
0.564 0.333 0.000
0.986 0.500 0.664
0.014 0.000 0.164
0.986 0.500 0.336
0.436 0.833 0.500
0.735 0.775 0.303
0.916 0.500 0.000
0.265 0.275 0.197
0.265 0.275 0.803
0.735 0.775 0.697
0.265 0.725 0.197
0.735 0.225 0.303
0.084 0.000 0.500
0.735 0.225 0.697
0.265 0.725 0.803
0.665 0.000 0.000
0.335 0.500 0.500

***

Referenced to the most stable arrangement, the calculated values in kJ/mol of atoms are run a 0.0; run b 28.8.

***

Run a
Ce2DyTl (PBE, relaxed); crystal system = cubic; volume = 119.0 Å³/cell; total magnetic moment = 0.84 μB/atom
1.0
5.522 0.000 0.000
2.761 4.782 0.000
2.761 1.594 4.508
Ce Tl Dy
2 1 1
direct
0.750 0.750 0.750
0.250 0.250 0.250
0.500 0.500 0.500
0.000 0.000 0.000

***

Run b
Ce2DyTl (PBE, relaxed); crystal system = tetragonal; volume = 111.1 Å³/cell; total magnetic moment = 0.43 μB/atom
1.0
-2.887 3.668 2.325
-3.740 -1.529 -2.233
-0.889 -2.904 3.477
Dy Tl Ce
1 1 2
direct
0.500 0.500 0.500
0.500 0.000 0.000
0.000 0.000 0.500
0.000 0.500 0.000

***

Run c
Ce2DyTl (PBE, relaxed); crystal system = monoclinic; volume = 224.2 Å³/cell; total magnetic moment = 0.00 μB/atom
1.0
4.568 0.000 0.058
0.000 4.317 0.000
-2.025 0.000 11.346
Dy Tl Ce
2 2 4
direct
0.698 0.750 0.393
0.302 0.250 0.607
0.818 0.750 0.668
0.182 0.250 0.332
0.388 0.750 0.883
0.612 0.250 0.117
0.998 0.250 0.888
0.002 0.750 0.112

***

Referenced to the most stable arrangement, the calculated values in kJ/mol of atoms are run a 19.7; run b 1.8; run c 0.0.

***

Run a
Ce2Dy2Tl3 (PBE, relaxed); crystal system = orthorhombic; volume = 190.1 Å³/cell; total magnetic moment = 0.21 μB/atom
1.0
4.329 0.000 0.574
0.000 3.512 0.000
0.534 0.000 12.575
Ce Tl Dy
2 3 2
direct
0.715 0.500 0.570
0.285 0.500 0.430
0.000 0.000 0.000
0.142 0.000 0.716
0.858 0.000 0.284
0.572 0.500 0.856
0.428 0.500 0.144

***

Run b
Ce2Dy2Tl3 (PBE, relaxed); crystal system = orthorhombic; volume = 217.5 Å³/cell; total magnetic moment = 0.39 μB/atom
1.0
5.463 -0.005 0.000
-2.726 7.641 2.016
0.000 0.470 5.337
Tl Dy Ce
3 2 2
direct
0.000 0.000 0.000
0.748 0.495 0.252
0.252 0.505 0.748
0.120 0.240 0.380
0.880 0.760 0.620
0.377 0.754 0.123
0.623 0.246 0.877

***

Referenced to the most stable arrangement, the calculated values in kJ/mol of atoms are run a 0.0; run b 9.6.

***

Run a
CeDyTm2 (PBE, relaxed); crystal system = tetragonal; volume = 121.4 Å³/cell; total magnetic moment = 0.12 μB/atom
1.0
-0.495 -4.001 -2.831
0.980 -2.891 3.914
-4.841 -0.169 1.086
Tm Dy Ce
2 1 1
direct
0.000 0.500 0.000
0.000 0.000 0.500
0.500 0.500 0.500
0.500 0.000 0.000

***

Run b
CeDyTm2 (PBE, relaxed); crystal system = trigonal; volume = 120.0 Å³/cell; total magnetic moment = 0.15 μB/atom
1.0
3.372 0.000 0.000
1.686 2.920 0.000
1.686 0.973 12.183
Tm Ce Dy
2 1 1
direct
0.089 0.089 0.734
0.911 0.911 0.266
0.000 0.000 0.000
0.500 0.500 0.500

***

Referenced to the most stable arrangement, the calculated values in kJ/mol of atoms are run a 0.0; run b 10.4.

***

Run a
CeDyTm2 (PBE, relaxed); crystal system = tetragonal; volume = 121.0 Å³/cell; total magnetic moment = 0.17 μB/atom
1.0
-1.544 -3.134 -0.214
3.124 -1.557 0.256
-0.915 -0.222 9.836
Ce Tm Dy
1 2 1
direct
0.500 0.500 0.000
0.000 0.000 0.246
0.000 0.000 0.754
0.500 0.500 0.500

***

Run b
CeDyTm2 (PBE, relaxed); crystal system = cubic; volume = 124.3 Å³/cell; total magnetic moment = 0.18 μB/atom
1.0
5.602 0.000 0.000
2.801 4.851 0.000
2.801 1.617 4.574
Ce Tm Dy
1 2 1
direct
0.500 0.500 0.500
0.750 0.750 0.750
0.250 0.250 0.250
0.000 0.000 0.000

***

Run c
CeDyTm2 (PBE, relaxed); crystal system = trigonal; volume = 121.2 Å³/cell; total magnetic moment = 0.22 μB/atom
1.0
-1.627 3.084 -0.267
-3.338 0.308 0.998
1.758 3.848 10.816
Ce Tm Dy
1 2 1
direct
0.501 0.501 0.498
0.250 0.250 0.249
0.083 0.083 0.751
0.666 0.666 0.001

***

Referenced to the most stable arrangement, the calculated values in kJ/mol of atoms are run a 0.5; run b 8.5; run c 0.0.

***

Run a
Ce2Dy12Tm5 (PBE, relaxed); crystal system = monoclinic; volume = 599.5 Å³/cell; total magnetic moment = 0.05 μB/atom
1.0
-1.781 6.673 -5.996
-8.999 -8.142 0.587
2.958 5.783 5.557
Dy Tm Ce
12 5 2
direct
0.824 0.264 0.579
0.176 0.736 0.421
0.931 0.862 0.734
0.440 0.264 0.579
0.561 0.121 0.779
0.069 0.138 0.266
0.033 0.708 0.944
0.560 0.736 0.421
0.439 0.879 0.221
0.967 0.292 0.056
0.675 0.708 0.944
0.325 0.292 0.056
0.230 0.461 0.895
0.770 0.539 0.105
0.713 0.425 0.386
0.287 0.575 0.614
0.000 0.000 0.500
0.351 0.000 0.000
0.649 0.000 0.000

***

Run b
Ce2Dy12Tm5 (PBE, relaxed); crystal system = triclinic; volume = 590.5 Å³/cell; total magnetic moment = 0.00 μB/atom
1.0
6.053 1.046 -0.152
-2.065 8.553 -4.833
-0.146 -0.643 11.292
Ce Tm Dy
2 5 12
direct
0.300 0.024 0.040
0.700 0.976 0.960
0.000 0.000 0.500
0.902 0.333 0.836
0.573 0.668 0.662
0.427 0.332 0.338
0.098 0.667 0.164
0.915 0.328 0.154
0.952 0.037 0.237
0.048 0.963 0.763
0.527 0.007 0.660
0.387 0.338 0.668
0.613 0.662 0.332
0.888 0.358 0.531
0.402 0.329 0.996
0.112 0.642 0.469
0.473 0.993 0.340
0.598 0.671 0.004
0.085 0.672 0.846

***

Referenced to the most stable arrangement, the calculated values in kJ/mol of atoms are run a 3.9; run b 0.0.